Material: Sm4CdTc
Method: DFT, PBE
State: optimized geometry

Unit cell a=7.8684 b=7.8684 c=6.3556 alpha=99.59 beta=99.59 gamma=111.77
Last column: nearest neighbours and their distance in Å.
Element x y z (fractional)
Sm: 0.2748 0.9374 0.0460  2 Tc 2.85-2.87
Sm: 0.7982 0.6361 0.8932  2 Tc 3.02-3.09, 1 Cd 3.26
Sm: 0.0626 0.7252 0.4540  2 Tc 2.85-2.87
Sm: 0.6361 0.7982 0.3932  2 Tc 3.02-3.09, 1 Cd 3.26
Sm: 0.2018 0.3639 0.1068  2 Tc 3.02-3.09, 1 Cd 3.26
Sm: 0.3639 0.2018 0.6068  2 Tc 3.02-3.09, 1 Cd 3.26
Sm: 0.7252 0.0626 0.9540  2 Tc 2.85-2.87
Sm: 0.9374 0.2748 0.5460  2 Tc 2.85-2.87
Cd: 0.6242 0.3758 0.2500  8 Sm 3.26-3.42
Cd: 0.3758 0.6242 0.7500  8 Sm 3.26-3.42
Tc: 0.0003 0.9997 0.2500  8 Sm 2.85-3.09, 2 Tc 3.18
Tc: 0.9997 0.0003 0.7500  8 Sm 2.85-3.09, 2 Tc 3.18

Calculated values
- space group = C2/c
- energy relative to the elements (meV/atom) = -146


Material: IrS2
Method: DFT, PBE
State: optimized geometry

Unit cell a=4.8642 b=5.6848 c=3.6511 alpha=90.00 beta=90.00 gamma=90.00
Last column: nearest neighbours and their distance in Å.
Element x y z (fractional)
Ir: 0.0000 0.0000 0.5000  6 S 2.37
Ir: 0.5000 0.5000 0.0000  6 S 2.37
S: 0.7318 0.8667 0.0000  3 Ir 2.37
S: 0.2318 0.6333 0.5000  3 Ir 2.37
S: 0.7682 0.3667 0.5000  3 Ir 2.37
S: 0.2682 0.1333 0.0000  3 Ir 2.37

Calculated values
- space group = Pnnm
- DFT total energy (Ry/atom) = -0.441


Material: RePd
Method: DFT, PBE
State: optimized geometry

Unit cell a=3.6467 b=3.6467 c=3.6467 alpha=60.00 beta=60.00 gamma=60.00
Last column: nearest neighbours and their distance in Å.
Element x y z (fractional)
Re: 0.5000 0.5000 0.5000  6 Pd 2.58
Pd: 0.0000 0.0000 0.0000  6 Re 2.58

Calculated values
- space group = Fm-3m
- energy relative to the elements (meV/atom) = 1589
- offset from the most stable computed form (meV per atom) = 730


Material: ScFeHgSb
Method: DFT, PBE
State: optimized geometry

Unit cell a=4.8538 b=4.8538 c=4.8538 alpha=60.00 beta=60.00 gamma=60.00
Last column: nearest neighbours and their distance in Å.
Element x y z (fractional)
Sb: 0.0000 0.0000 0.0000  4 Hg 2.97, 4 Fe 2.97
Fe: 0.7500 0.7500 0.7500  4 Sb 2.97, 4 Sc 2.97
Hg: 0.2500 0.2500 0.2500  4 Sc 2.97, 4 Sb 2.97
Sc: 0.5000 0.5000 0.5000  4 Hg 2.97, 4 Fe 2.97

Calculated values
- space group = F-43m
- offset from the most stable computed form (meV per atom) = 152


Material: CdTePbO
Method: DFT, PBE
State: optimized geometry

Unit cell a=4.2286 b=6.3172 c=7.3729 alpha=90.00 beta=73.34 gamma=90.00
Last column: nearest neighbours and their distance in Å.
Element x y z (fractional)
Te: 0.2694 0.2500 0.4613  2 Cd 2.74
Te: 0.7306 0.7500 0.5387  2 Cd 2.74
Cd: 0.1077 0.7500 0.7845  2 O 2.19
Cd: 0.8923 0.2500 0.2155  2 O 2.19
O: 0.0000 0.5000 0.0000  2 Cd 2.19
O: 0.0000 0.0000 0.0000  2 Cd 2.19
Pb: 0.4140 0.7500 0.1719  4 O 2.91
Pb: 0.5860 0.2500 0.8281  4 O 2.91

Calculated values
- space group = Cmcm
- offset from the most stable computed form (meV per atom) = 220


Material: BaTa2Ir
Method: DFT, PBE
State: optimized geometry

Unit cell a=4.9023 b=4.9023 c=4.9023 alpha=60.00 beta=60.00 gamma=60.00
Last column: nearest neighbours and their distance in Å.
Element x y z (fractional)
Ir: 0.2500 0.2500 0.2500  4 Ba 3.00, 4 Ta 3.00
Ba: 0.5000 0.5000 0.5000  4 Ta 3.00, 4 Ir 3.00
Ta: 0.0000 0.0000 0.0000  4 Ta 3.00, 4 Ir 3.00
Ta: 0.7500 0.7500 0.7500  4 Ba 3.00, 4 Ta 3.00

Calculated values
- space group = F-43m
- DFT total energy (Ry/atom) = -0.567


Material: Cu4Ag
Method: DFT, PBE
State: optimized geometry

Unit cell a=5.6798 b=5.6798 c=8.8517 alpha=99.18 beta=99.18 gamma=27.54
Last column: nearest neighbours and their distance in Å.
Element x y z (fractional)
Cu: 0.7391 0.7391 0.7383  9 Cu 2.52-2.70, 2 Ag 2.69
Cu: 0.6535 0.6535 0.4515  11 Cu 2.54-2.70, 1 Ag 2.68
Cu: 0.2609 0.2609 0.2617  9 Cu 2.52-2.70, 2 Ag 2.69
Cu: 0.9498 0.9498 0.3630  10 Cu 2.50-2.76, 2 Ag 2.69
Cu: 0.0502 0.0502 0.6370  10 Cu 2.50-2.76, 2 Ag 2.69
Cu: 0.1596 0.1596 0.9409  7 Cu 2.49-2.76, 4 Ag 2.73-2.74
Cu: 0.3465 0.3465 0.5485  11 Cu 2.54-2.70, 1 Ag 2.68
Cu: 0.8404 0.8404 0.0591  7 Cu 2.49-2.76, 4 Ag 2.73-2.74
Ag: 0.5540 0.5540 0.1547  9 Cu 2.68-2.74, 3 Ag 2.70-2.80
Ag: 0.4460 0.4460 0.8453  9 Cu 2.68-2.74, 3 Ag 2.70-2.80

Calculated values
- space group = C2/m
- energy relative to the elements (meV/atom) = 63
- offset from the most stable computed form (meV per atom) = 19


Material: Ba2Ge2Pd
Method: DFT, PBE
State: optimized geometry

Unit cell a=5.9116 b=5.9116 c=5.9116 alpha=112.85 beta=112.85 gamma=102.90
Last column: nearest neighbours and their distance in Å.
Element x y z (fractional)
Ge: 0.6632 0.6632 0.0000  1 Ge 2.41, 1 Pd 2.48
Ge: 0.3368 0.3368 0.0000  1 Ge 2.41, 1 Pd 2.48
Pd: 0.0000 0.0000 0.0000  2 Ge 2.48
Ba: 0.2500 0.7500 0.5000  4 Ge 3.33, 2 Ba 3.68
Ba: 0.7500 0.2500 0.5000  4 Ge 3.33, 2 Ba 3.68

Calculated values
- space group = I4/mmm
- DFT total energy (Ry/atom) = -0.290